Entry 1:
# TlGa

A relaxed TlGa crystal (PBE, the Alexandria database).

Values from the calculation:
energy relative to the elements = 45 meV/atom

Lattice parameters (Å, degrees): 3.553 3.553 8.169 90.02 90.02 83.93
Atoms (fractional coordinates):
Tl 0.250 0.250 0.162
Tl 0.750 0.750 0.838
Ga 0.250 0.250 0.580
Ga 0.750 0.750 0.420

=====

Entry 2:
# Y2CuHPt

A relaxed Y2CuHPt crystal (PBE, the Alexandria database).

Values from the calculation:
energy relative to the lowest polymorph listed for this composition = 0 meV per atom

Lattice parameters (Å, degrees): 4.904 4.904 3.597 90.00 90.00 90.00
Atoms (fractional coordinates):
Y 0.000 0.500 0.000
Y 0.500 0.000 0.000
Cu 0.000 0.000 0.500
H 0.000 0.000 0.000
Pt 0.500 0.500 0.500

=====

Entry 3:
# TiNbAs

A relaxed TiNbAs crystal (PBE, the Alexandria database).

Values from the calculation:
energy relative to the elements = -549 meV/atom

Lattice parameters (Å, degrees): 6.072 6.072 5.462 90.00 90.00 90.00
Atoms (fractional coordinates):
Ti 0.157 0.343 0.000
Ti 0.343 0.843 0.000
Ti 0.657 0.157 0.000
Ti 0.843 0.657 0.000
Nb 0.161 0.661 0.500
Nb 0.339 0.161 0.500
Nb 0.661 0.839 0.500
Nb 0.839 0.339 0.500
As 0.000 0.000 0.246
As 0.000 0.000 0.754
As 0.500 0.500 0.246
As 0.500 0.500 0.754

=====

Entry 4:
# Tb5Ir2Pd

A relaxed Tb5Ir2Pd crystal (PBE, the Alexandria database).

Values from the calculation:
energy relative to the elements = -740 meV/atom

Lattice parameters (Å, degrees): 8.619 8.619 8.619 127.32 127.32 77.73
Atoms (fractional coordinates):
Tb 0.000 0.000 0.000
Tb 0.026 0.526 0.828
Tb 0.198 0.026 0.500
Tb 0.302 0.802 0.828
Tb 0.474 0.302 0.500
Tb 0.500 0.500 0.000
Tb 0.526 0.698 0.500
Tb 0.698 0.198 0.172
Tb 0.802 0.974 0.500
Tb 0.974 0.474 0.172
Ir 0.137 0.363 0.500
Ir 0.363 0.863 0.227
Ir 0.637 0.137 0.773
Ir 0.863 0.637 0.500
Pd 0.250 0.250 0.000
Pd 0.750 0.750 0.000

=====

Entry 5:
# Pr7NdPb4

A relaxed Pr7NdPb4 crystal (PBE, the Alexandria database).

Values from the calculation:
energy relative to the elements = -183 meV/atom

Lattice parameters (Å, degrees): 7.762 7.762 11.496 121.23 121.23 45.70
Atoms (fractional coordinates):
Pr 0.000 0.000 0.000
Pr 0.179 0.179 0.596
Pr 0.291 0.291 0.109
Pr 0.449 0.449 0.632
Pr 0.551 0.551 0.368
Pr 0.709 0.709 0.891
Pr 0.821 0.821 0.404
Nd 0.500 0.500 0.000
Pb 0.071 0.071 0.768
Pb 0.204 0.204 0.326
Pb 0.796 0.796 0.674
Pb 0.929 0.929 0.232

=====

Entry 6:
# BaGaHg

A relaxed BaGaHg crystal (PBE, the Alexandria database).

Values from the calculation:
energy relative to the lowest polymorph listed for this composition = 5 meV per atom
energy relative to the elements = -444 meV/atom

Lattice parameters (Å, degrees): 4.655 4.807 8.644 90.00 90.00 90.00
Atoms (fractional coordinates):
Ba 0.250 0.000 0.236
Ba 0.750 0.000 0.764
Ga 0.250 0.500 0.932
Ga 0.750 0.500 0.068
Hg 0.250 0.500 0.604
Hg 0.750 0.500 0.396

=====

Entry 7:
# MoSe

A relaxed MoSe crystal (PBE, the Alexandria database).

Values from the calculation:
energy relative to the lowest polymorph listed for this composition = 383 meV per atom
E_form (uncorrected) = 0.208 eV per formula unit

Lattice parameters (Å, degrees): 3.272 3.272 3.613 90.00 90.00 120.00
Atoms (fractional coordinates):
Mo 0.000 0.000 0.000
Se 0.667 0.333 0.500

=====

Entry 8:
# BiPbO2

A relaxed BiPbO2 crystal (PBE, the Alexandria database).

Values from the calculation:
energy relative to the lowest polymorph listed for this composition = 166 meV per atom
E_form (uncorrected) = -2.975 eV per formula unit

Lattice parameters (Å, degrees): 6.846 6.846 6.846 131.18 131.18 71.53
Atoms (fractional coordinates):
Bi 0.000 0.000 0.000
Bi 0.750 0.250 0.500
Pb 0.250 0.750 0.500
Pb 0.500 0.500 0.000
O 0.096 0.625 0.971
O 0.375 0.346 0.471
O 0.654 0.125 0.029
O 0.875 0.904 0.529

=====

Entry 9:
# BaCo2Ni

A relaxed BaCo2Ni crystal (PBE, the Alexandria database).

Values from the calculation:
energy relative to the lowest polymorph listed for this composition = 797 meV per atom
energy relative to the elements = 953 meV/atom

Lattice parameters (Å, degrees): 3.926 3.926 4.633 90.00 90.00 90.00
Atoms (fractional coordinates):
Ba 0.000 0.000 0.000
Co 0.000 0.500 0.500
Co 0.500 0.000 0.500
Ni 0.500 0.500 0.000

=====

Entry 10:
# PrAg2BiSe4

A relaxed PrAg2BiSe4 crystal (PBE, the Alexandria database).

Values from the calculation:
E_form (uncorrected) = -5.604 eV per formula unit

Lattice parameters (Å, degrees): 6.954 4.284 7.389 90.00 110.87 90.00
Atoms (fractional coordinates):
Pr 0.000 0.000 0.000
Ag 0.500 0.000 0.500
Ag 0.500 0.500 0.000
Bi 0.000 0.500 0.500
Se 0.257 0.500 0.255
Se 0.262 0.000 0.751
Se 0.738 0.000 0.249
Se 0.743 0.500 0.745

=====

Entry 11:
# SmNpTe2

A relaxed SmNpTe2 crystal (PBE, the Alexandria database).

Values from the calculation:
energy relative to the lowest polymorph listed for this composition = 459 meV per atom
E_form (uncorrected) = -1.718 eV per formula unit

Lattice parameters (Å, degrees): 10.193 10.193 10.193 23.81 23.81 23.81
Atoms (fractional coordinates):
Sm 0.000 0.000 0.000
Np 0.500 0.500 0.500
Te 0.103 0.103 0.103
Te 0.897 0.897 0.897

=====

Entry 12:
# BaNiSe2

A relaxed BaNiSe2 crystal (PBE, the Alexandria database).

Values from the calculation:
E_form (uncorrected) = -3.104 eV per formula unit

Lattice parameters (Å, degrees): 7.245 7.245 7.245 32.77 32.77 32.77
Atoms (fractional coordinates):
Ba 0.000 0.000 0.000
Ni 0.828 0.828 0.828
Se 0.224 0.224 0.224
Se 0.438 0.438 0.438